Compound: Tl3AuS
Source: the Alexandria database
Functional: PBE-GGA
Structure: relaxed

Results
**Distance to the lowest polymorph of the same formula**: 353 meV per atom
**D(E_F)**: 2.86 states/eV per cell
**Mass density**: 7.3 g cm⁻³
**SG**: Pm-3m (221)
**Energy relative to the elements, uncorrected**: 0.238 eV per atom

Cell and atoms, written as POSCAR:
```
Tl3AuS
1.0
5.778 0.000 0.000
0.000 5.778 0.000
0.000 0.000 5.778
Tl Au S
3 1 1
Direct
0.000 0.500 0.000
0.000 0.000 0.500
0.500 0.000 0.000
0.500 0.500 0.500
0.000 0.000 0.000
```


Compound: ZnNi4Ir3
Source: the Alexandria database
Functional: PBE-GGA
Structure: relaxed

Results
**D(E_F)**: 12.08 states/eV per cell
**Mass density**: 14.2 g cm⁻³
**Energy relative to the elements**: -0.019 eV per atom
**SG**: C2/m (12)

Cell and atoms, written as POSCAR:
```
ZnNi4Ir3
1.0
-2.505 0.858 0.456
-0.751 -3.561 2.572
4.102 4.477 6.189
Ni Zn Ir
4 1 3
Direct
0.871 0.120 0.742
0.129 0.880 0.258
0.749 0.753 0.499
0.251 0.247 0.501
0.500 0.000 0.000
0.000 0.500 0.000
0.370 0.620 0.741
0.630 0.380 0.259
```


Compound: U3CS3
Source: the Alexandria database
Functional: PBE-GGA
Structure: relaxed

Results
**D(E_F)**: 28.29 states/eV per cell
**Mass density**: 9.1 g cm⁻³
**SG**: P2_1/m (11)
**Energy relative to the elements, uncorrected**: -0.890 eV per atom

Cell and atoms, written as POSCAR:
```
U3CS3
1.0
-2.517 1.363 -4.641
-0.015 -7.164 -2.096
-6.557 -0.051 3.541
U C S
6 2 6
Direct
0.750 0.589 0.841
0.750 0.158 0.410
0.750 0.123 0.878
0.250 0.411 0.159
0.250 0.842 0.590
0.250 0.877 0.122
0.750 0.317 0.683
0.250 0.683 0.317
0.250 0.594 0.845
0.250 0.154 0.406
0.250 0.123 0.878
0.750 0.406 0.155
0.750 0.846 0.594
0.750 0.877 0.122
```


Compound: Fe2NiIr
Source: the Alexandria database
Functional: PBE-GGA
Structure: relaxed

Results
**D(E_F)**: 5.93 states/eV per cell
**Mass density**: 12.1 g cm⁻³
**Energy relative to the elements**: 0.044 eV per atom
**SG**: P4mm (99)

Cell and atoms, written as POSCAR:
```
Fe2NiIr
1.0
2.872 0.000 0.000
0.000 2.872 0.000
0.000 0.000 6.042
Fe Ir Ni
2 1 1
Direct
0.000 0.000 0.996
0.500 0.500 0.236
0.000 0.000 0.493
0.500 0.500 0.775
```


Compound: CeTl2AgCl6
Source: the Alexandria database
Functional: PBE-GGA
Structure: relaxed

Results
**D(E_F)**: 16.77 states/eV per cell
**Mass density**: 4.7 g cm⁻³
**SG**: P2_1/c (14)
**Energy relative to the elements, uncorrected**: -1.386 eV per atom

Cell and atoms, written as POSCAR:
```
CeTl2AgCl6
1.0
-2.854 -0.678 6.823
-5.549 -4.703 -2.788
6.157 -8.425 1.960
Ce Tl Ag Cl
2 4 2 12
Direct
0.500 0.000 0.500
0.000 0.500 0.000
0.023 0.930 0.254
0.523 0.570 0.754
0.977 0.070 0.746
0.477 0.430 0.246
0.500 0.000 0.000
0.000 0.500 0.500
0.302 0.696 0.048
0.802 0.804 0.548
0.698 0.304 0.952
0.198 0.196 0.452
0.306 0.705 0.450
0.806 0.795 0.950
0.694 0.295 0.550
0.194 0.205 0.050
0.899 0.525 0.252
0.399 0.975 0.752
0.101 0.475 0.748
0.601 0.025 0.248
```


Compound: K5Rb2Hg
Source: the Alexandria database
Functional: PBE-GGA
Structure: relaxed

Results
**D(E_F)**: 6.70 states/eV per cell
**Mass density**: 1.6 g cm⁻³
**Energy relative to the elements**: -0.008 eV per atom
**SG**: P4/mmm (123)

Cell and atoms, written as POSCAR:
```
K5Rb2Hg
1.0
6.820 0.000 0.000
0.000 9.437 0.000
0.000 0.000 9.437
K Rb Hg
5 2 1
Direct
0.000 0.739 0.739
0.000 0.261 0.739
0.000 0.739 0.261
0.500 0.000 0.000
0.000 0.261 0.261
0.500 0.500 0.000
0.500 0.000 0.500
0.000 0.000 0.000
```